Compound: Li2MgSbO
Source: Alexandria via LeMat-Bulk
Functional: PBE
Structure: optimized geometry

Properties
The density is 3.83 g/cm3. For the total magnetization, the calculation gives 0.00 μB/cell. The calculated volume is 15.26 Å³/atom. For the total energy, the calculation gives -20.47 eV per formula unit.

a = 4.3912 Å, b = 4.3912 Å, c = 3.9563 Å
α = 90.00°, β = 90.00°, γ = 90.00°
Closest atoms and distances in Å follow each position.
Sites, in units of the cell vectors:
Li 0.0000 0.5000 0.0000  2 O 2.20
Li 0.5000 0.0000 0.0000  2 O 2.20
Sb 0.5000 0.5000 0.5000  8 Li 2.96, 4 Mg 3.11
Mg 0.0000 0.0000 0.5000  2 O 1.98
O 0.0000 0.0000 0.0000  2 Mg 1.98, 4 Li 2.20


Compound: BaNaGe3
Source: Alexandria via LeMat-Bulk
Functional: PBE
Structure: optimized geometry

Properties
For the formation energy, the calculation gives 950 meV/atom. The density is 3.07 g/cm3. For the total magnetization, the calculation gives 0.00 μB/cell. The calculated volume is 40.89 Å³/atom. The calculation puts the energy above the most stable polymorph in this dataset at 1275.0 meV per atom.

a = 5.8909 Å, b = 5.8909 Å, c = 5.8909 Å
α = 90.00°, β = 90.00°, γ = 90.00°
Closest atoms and distances in Å follow each position.
Sites, in units of the cell vectors:
Na 0.5000 0.5000 0.5000  12 Ge 4.17
Ge 0.5000 0.0000 0.0000  2 Ba 2.95
Ge 0.0000 0.0000 0.5000  2 Ba 2.95
Ge 0.0000 0.5000 0.0000  2 Ba 2.95
Ba 0.0000 0.0000 0.0000  6 Ge 2.95


Compound: NaCa2ScAs
Source: Alexandria via LeMat-Bulk
Functional: PBE
Structure: optimized geometry

Properties
For the formation energy, the calculation gives 876 meV/atom. The density is 2.02 g/cm3. For the total magnetization, the calculation gives 2.98 μB/cell. The calculated volume is 36.65 Å³/atom.

a = 5.8258 Å, b = 5.3989 Å, c = 5.8258 Å
α = 90.00°, β = 90.00°, γ = 90.00°
Closest atoms and distances in Å follow each position.
Sites, in units of the cell vectors:
Ca 0.5000 0.0000 0.0000  2 Sc 2.91
Ca 0.0000 0.0000 0.5000  2 Sc 2.91
As 0.5000 0.5000 0.5000  8 Ca 3.97, 4 Na 4.12
Na 0.0000 0.5000 0.0000  2 Sc 2.70
Sc 0.0000 0.0000 0.0000  2 Na 2.70, 4 Ca 2.91


Compound: SrCaLa4
Source: Alexandria via LeMat-Bulk
Functional: PBE
Structure: optimized geometry

Properties
For the formation energy, the calculation gives 171 meV/atom. The density is 4.50 g/cm3. For the total magnetization, the calculation gives 0.00 μB/cell. The calculated volume is 42.03 Å³/atom.

a = 7.0916 Å, b = 7.0916 Å, c = 7.0916 Å
α = 60.00°, β = 60.00°, γ = 60.00°
Closest atoms and distances in Å follow each position.
Sites, in units of the cell vectors:
La 0.3713 0.8860 0.3713  6 La 3.44-3.65
La 0.8860 0.3713 0.3713  6 La 3.44-3.65
La 0.3713 0.3713 0.3713  6 La 3.44-3.65
La 0.3713 0.3713 0.8860  6 La 3.44-3.65
Ca 0.0000 0.0000 0.0000  12 La 4.15, 4 Sr 4.34
Sr 0.7500 0.7500 0.7500  12 La 4.17, 4 Ca 4.34


Compound: K2RbSb2
Source: Alexandria via LeMat-Bulk
Functional: PBE
Structure: optimized geometry

Properties
The density is 3.08 g/cm3. For the total magnetization, the calculation gives 0.00 μB/cell. The calculated volume is 43.90 Å³/atom. The calculation puts the energy above the most stable polymorph in this dataset at 298.7 meV per atom.

a = 5.8573 Å, b = 5.8573 Å, c = 7.6216 Å
α = 67.40°, β = 67.40°, γ = 90.00°
Closest atoms and distances in Å follow each position.
Sites, in units of the cell vectors:
Sb 0.7500 0.2500 0.5000  4 K 3.33
Sb 0.2500 0.7500 0.5000  4 K 3.33
K 0.3737 0.3737 0.2525  1 K 3.23, 4 Sb 3.33
K 0.6263 0.6263 0.7475  1 K 3.23, 4 Sb 3.33
Rb 0.0000 0.0000 0.0000  8 Sb 4.34, 10 K 4.45-4.78


Compound: Tm3MgCd
Source: Alexandria via LeMat-Bulk
Functional: PBE
Structure: optimized geometry

Properties
For the formation energy, the calculation gives -2 meV/atom. The density is 7.71 g/cm3. For the total magnetization, the calculation gives 0.00 μB/cell. The calculated volume is 27.70 Å³/atom. The calculation puts the energy above the most stable polymorph in this dataset at 134.5 meV per atom.

a = 6.6384 Å, b = 6.6384 Å, c = 15.0754 Å
α = 85.08°, β = 85.08°, γ = 56.92°
Closest atoms and distances in Å follow each position.
Sites, in units of the cell vectors:
Tm 0.1225 0.4915 0.9006  2 Cd 3.09-3.17, 3 Mg 3.23-3.43, 5 Tm 3.27-3.46
Tm 0.8600 0.0195 0.1105  2 Cd 3.07-3.09, 2 Mg 3.12-3.26, 2 Tm 3.30-3.35
Tm 0.0237 0.6205 0.2925  2 Cd 3.17-3.27, 4 Tm 3.41-3.54
Tm 0.1400 0.9805 0.8895  2 Cd 3.07-3.09, 2 Mg 3.12-3.26, 2 Tm 3.30-3.35
Tm 0.3795 0.9763 0.2075  2 Cd 3.17-3.27, 4 Tm 3.41-3.54
Tm 0.5085 0.8775 0.5994  2 Cd 3.09-3.17, 3 Mg 3.23-3.43, 5 Tm 3.27-3.46
Tm 0.4915 0.1225 0.4006  2 Cd 3.09-3.17, 3 Mg 3.23-3.43, 5 Tm 3.27-3.46
Tm 0.8775 0.5085 0.0994  2 Cd 3.09-3.17, 3 Mg 3.23-3.43, 5 Tm 3.27-3.46
Tm 0.0195 0.8600 0.6105  2 Cd 3.07-3.09, 2 Mg 3.12-3.26, 2 Tm 3.30-3.35
Tm 0.9763 0.3795 0.7075  2 Cd 3.17-3.27, 4 Tm 3.41-3.54
Tm 0.9805 0.1400 0.3895  2 Cd 3.07-3.09, 2 Mg 3.12-3.26, 2 Tm 3.30-3.35
Tm 0.6205 0.0237 0.7925  2 Cd 3.17-3.27, 4 Tm 3.41-3.54
Mg 0.3512 0.5338 0.0843  1 Cd 2.90, 1 Mg 2.99, 2 Tm 3.12-3.23
Mg 0.4662 0.6488 0.4157  1 Cd 2.90, 1 Mg 2.99, 2 Tm 3.12-3.23
Mg 0.5338 0.3512 0.5843  1 Cd 2.90, 1 Mg 2.99, 2 Tm 3.12-3.23
Mg 0.6488 0.4662 0.9157  1 Cd 2.90, 1 Mg 2.99, 2 Tm 3.12-3.23
Cd 0.0000 0.5000 0.5000  6 Tm 3.09-3.17, 2 Mg 3.45
Cd 0.4044 0.5956 0.7500  2 Mg 2.90, 4 Tm 3.07-3.09
Cd 0.5000 0.0000 0.0000  6 Tm 3.09-3.17, 2 Mg 3.45
Cd 0.5956 0.4044 0.2500  2 Mg 2.90, 4 Tm 3.07-3.09


Compound: Ni2HgAu
Source: Alexandria via LeMat-Bulk
Functional: PBE
Structure: optimized geometry

Properties
For the formation energy, the calculation gives 265 meV/atom. The density is 13.79 g/cm3. For the total magnetization, the calculation gives 0.01 μB/cell. The calculated volume is 15.51 Å³/atom.

a = 4.5619 Å, b = 4.5619 Å, c = 5.0383 Å
α = 79.30°, β = 79.30°, γ = 37.10°
Closest atoms and distances in Å follow each position.
Sites, in units of the cell vectors:
Au 0.7500 0.7500 0.7500  6 Ni 2.66-2.67, 2 Au 2.90, 4 Hg 2.91
Ni 0.4990 0.4990 0.5175  3 Au 2.66-2.67, 3 Hg 2.74-2.76, 4 Ni 2.76-2.90
Ni 0.0010 0.0010 0.9825  3 Au 2.66-2.67, 3 Hg 2.74-2.76, 4 Ni 2.76-2.90
Hg 0.2500 0.2500 0.2500  6 Ni 2.74-2.76, 2 Hg 2.90, 4 Au 2.91


Compound: NdCdNi10
Source: Alexandria via LeMat-Bulk
Functional: PBE
Structure: optimized geometry

Properties
For the formation energy, the calculation gives -72 meV/atom. The density is 8.58 g/cm3. For the total magnetization, the calculation gives 3.87 μB/cell. The calculated volume is 13.61 Å³/atom.

a = 4.0056 Å, b = 4.8511 Å, c = 8.4068 Å
α = 90.00°, β = 90.00°, γ = 90.00°
Closest atoms and distances in Å follow each position.
Sites, in units of the cell vectors:
Ni 0.0000 0.0000 0.6583  7 Ni 2.40-2.66
Ni 0.5000 0.5000 0.0000  8 Ni 2.45-2.51
Ni 0.5000 0.0000 0.5000  8 Ni 2.40
Ni 0.5000 0.2517 0.2542  8 Ni 2.40-2.46
Ni 0.0000 0.0000 0.3417  7 Ni 2.40-2.66
Ni 0.5000 0.2517 0.7458  8 Ni 2.40-2.46
Ni 0.5000 0.7483 0.7458  8 Ni 2.40-2.46
Ni 0.0000 0.5000 0.8207  6 Ni 2.42-2.51, 1 Cd 2.70
Ni 0.0000 0.5000 0.1793  6 Ni 2.42-2.51, 1 Cd 2.70
Ni 0.5000 0.7483 0.2542  8 Ni 2.40-2.46
Nd 0.0000 0.0000 0.0000  18 Ni 2.86-3.17
Cd 0.0000 0.5000 0.5000  6 Ni 2.70-2.77


Question: Which value of total magnetization does entry 2 give?
Answer: 0.00 μB/cell